Below is Cd2As2P after structural relaxation, with properties calculated at the PBE level.

Density (Mg/m³): 6.2
E_tot (eV/atom): -3.02

a = 3.695 Å, b = 3.695 Å, c = 15.846 Å
α = 90.00°, β = 90.00°, γ = 90.00°
Space group I4/mmm (No. 139)
One atom of each set of equivalent atoms:
Cd1 0.000 0.000 0.090 [4 per cell]
As1 0.000 0.500 0.250 [4 per cell]
P1 0.000 0.000 0.500 [2 per cell]



Below is LiAgF4 after structural relaxation, with properties calculated at the PBE level.

Density (Mg/m³): 4.2
E_tot (eV/atom): -3.68
Formation energy (no corrections) (eV per atom): -1.6355

a = 6.466 Å, b = 6.704 Å, c = 3.460 Å
α = 90.00°, β = 90.00°, γ = 90.00°
Space group Cmmm (No. 65)
One atom of each set of equivalent atoms:
Li1 0.000 0.000 0.000 [2 per cell]
Ag1 0.000 0.500 0.500 [2 per cell]
F1 0.000 0.301 0.000 [4 per cell]
F2 0.191 0.000 0.500 [4 per cell]